# 1
5
Lattice="4.8275 0.0000 0.0000 0.0000 4.8275 0.0000 0.0000 0.0000 4.6246" Properties=species:S:1:pos:R:3 comment="RbSc2WC | Alexandria via LeMat-Bulk | meta-GGA SCAN | single point on PBEsol structure" sg=P4/mmm magmom_total_mub_per_fu=0.001 delta_e_f_ev_per_atom=3.65 final_energy_ha_per_atom=-0.814 pbc="T T T"
Rb 0.0000 0.0000 0.0000
Sc 0.0000 2.4138 0.0000
Sc 2.4138 0.0000 0.0000
W 0.0000 0.0000 2.3123
C 2.4138 2.4138 2.3123


# 2
50
Lattice="7.2662 0.0000 0.0000 3.1652 7.6747 0.0000 2.2172 0.5844 8.3962" Properties=species:S:1:pos:R:3 comment="V9NiO15 | Alexandria via LeMat-Bulk | meta-GGA SCAN | single point on PBEsol structure" formation_energy_uncorrected_ev_per_atom=-2.5157 sg=P-1 magmom_total_mub_per_fu=15.029 final_energy_ha_per_atom=-0.485 pbc="T T T"
V 1.6907 1.5245 4.1463
V 0.9745 0.3697 0.9061
V 2.1546 2.8606 0.7666
V 3.6550 2.2067 5.9454
V 4.8686 4.7003 5.7783
V 4.1405 3.5124 2.5906
V 6.8739 5.4052 7.6662
V 8.0616 7.9353 7.5033
V 7.3231 6.7149 4.2907
V 5.3255 1.5442 4.1054
V 4.5870 0.3237 0.8929
V 5.7747 2.8539 0.7300
V 8.5080 4.7466 5.8056
V 7.7800 3.5587 2.6179
V 8.9935 6.0524 2.4508
V 10.4940 5.3984 7.6296
V 11.6741 7.8893 7.4900
V 10.9578 6.7345 4.2499
Ni 5.4080 6.0002 2.3905
Ni 7.2406 2.2589 6.0056
O 1.3386 1.7449 2.2351
O 3.4620 6.8461 2.2681
O 2.3742 4.2358 2.2014
O 4.0292 2.0517 7.8405
O 5.0799 4.6347 7.7915
O 6.1797 7.2177 7.8643
O 4.4318 4.8940 3.9327
O 5.5368 7.4148 3.9756
O 3.4618 2.2833 3.9383
O 5.9953 7.3144 1.0744
O 4.9343 4.6008 1.1253
O 3.9420 2.1428 1.1148
O 5.4737 2.9274 5.5291
O 4.5378 0.4243 5.5870
O 6.6443 5.4800 5.6366
O 6.0043 2.7790 2.7596
O 8.1108 7.8347 2.8091
O 7.1748 5.3317 2.8671
O 8.7066 6.1162 7.2814
O 7.7143 3.6582 7.2709
O 6.6533 0.9446 7.3218
O 9.1868 5.9758 4.4579
O 7.1118 0.8442 4.4205
O 8.2168 3.3650 4.4634
O 6.4689 1.0413 0.5319
O 7.5687 3.6244 0.6047
O 8.6194 6.2073 0.5556
O 10.2744 4.0232 6.1948
O 9.1866 1.4129 6.1281
O 11.3100 6.5141 6.1611


# 3
4
Lattice="3.8206 0.0000 0.0000 0.0000 3.8206 0.0000 0.0000 0.0000 5.7600" Properties=species:S:1:pos:R:3 comment="ZrInAs2 | Alexandria via LeMat-Bulk | meta-GGA SCAN | single point on PBEsol structure" sg=P4mm magmom_total_mub_per_fu=0.001 delta_e_f_ev_per_atom=-0.56 final_energy_ha_per_atom=-0.980 pbc="T T T"
Zr 0.0000 0.0000 0.0000
In 1.9103 1.9103 3.4920
As 0.0000 0.0000 2.8891
As 1.9103 1.9103 0.4324


# 4
15
Lattice="5.1014 0.0000 0.0000 2.2827 4.7521 0.0000 2.4887 -0.2586 7.1706" Properties=species:S:1:pos:R:3 comment="Li5Cr2O8 | Alexandria via LeMat-Bulk | meta-GGA SCAN | single point on PBEsol structure" formation_energy_uncorrected_ev_per_atom=-2.1579 sg=P1 magmom_total_mub_per_fu=1.000 final_energy_ha_per_atom=-0.321 pbc="T T T"
Li 0.0000 0.0000 0.0000
Li 3.7040 2.0354 6.4696
Li 3.4748 2.5729 3.2895
Li 3.2255 -0.1299 4.5323
Li 5.6897 2.2229 1.9050
Cr 2.7842 0.1814 1.5112
Cr 6.0038 1.9533 4.9794
O 1.5155 0.9450 0.7131
O 4.5004 4.1863 2.8974
O 5.4965 3.2166 5.9416
O 4.5733 1.1888 4.6041
O 3.9296 1.3299 1.8614
O 5.8054 3.7435 0.5825
O 6.6957 2.5665 3.5852
O 7.1426 1.0287 5.7752


# 5
12
Lattice="4.3585 0.0000 0.0000 0.0000 2.7270 0.0000 0.0000 0.0000 14.0737" Properties=species:S:1:pos:R:3 comment="FeRe5 | Alexandria via LeMat-Bulk | meta-GGA SCAN | single point on PBEsol structure" sg=Amm2 magmom_total_mub_per_fu=0.065 delta_e_f_ev_per_atom=0.09 final_energy_ha_per_atom=-2.285 pbc="T T T"
Fe 0.0000 0.0000 0.0000
Fe 0.0000 1.3635 7.0369
Re 0.0000 0.0000 4.7292
Re 0.0000 0.0000 9.2775
Re 0.0000 1.3635 2.2406
Re 0.0000 1.3635 11.7661
Re 2.1792 0.0000 3.1006
Re 2.1792 0.0000 7.7401
Re 2.1792 0.0000 12.5059
Re 2.1792 1.3635 0.7033
Re 2.1792 1.3635 5.4691
Re 2.1792 1.3635 10.1375


# 6
16
Lattice="7.0738 0.0000 0.0000 0.0000 7.0738 0.0000 0.0000 0.0000 7.0738" Properties=species:S:1:pos:R:3 comment="BiAu2Br | Alexandria via LeMat-Bulk | meta-GGA SCAN | single point on PBEsol structure" formation_energy_uncorrected_ev_per_atom=0.3990 sg=Fm-3m magmom_total_mub_per_fu=0.000 final_energy_ha_per_atom=-2.157 pbc="T T T"
Bi 0.0000 0.0000 0.0000
Bi 0.0000 3.5369 3.5369
Bi 3.5369 0.0000 3.5369
Bi 3.5369 3.5369 0.0000
Au 1.7684 1.7684 1.7684
Au 1.7684 1.7684 5.3053
Au 1.7684 5.3053 1.7684
Au 1.7684 5.3053 5.3053
Au 5.3053 1.7684 1.7684
Au 5.3053 1.7684 5.3053
Au 5.3053 5.3053 1.7684
Au 5.3053 5.3053 5.3053
Br 0.0000 0.0000 3.5369
Br 0.0000 3.5369 0.0000
Br 3.5369 0.0000 0.0000
Br 3.5369 3.5369 3.5369


# 7
12
Lattice="3.6714 0.0000 0.0000 -1.8357 3.1795 0.0000 0.0000 0.0000 23.0221" Properties=species:S:1:pos:R:3 comment="YAl2As | Alexandria via LeMat-Bulk | meta-GGA SCAN | single point on PBEsol structure" sg=R-3m magmom_total_mub_per_fu=0.678 delta_e_f_ev_per_atom=-0.11 final_energy_ha_per_atom=-0.588 pbc="T T T"
Y 0.0000 0.0000 0.0000
Y 0.0000 2.1197 15.3481
Y 1.8357 1.0598 7.6740
Al 0.0000 0.0000 5.3394
Al 0.0000 0.0000 17.6827
Al 0.0000 2.1197 10.0087
Al 0.0000 2.1197 20.6875
Al 1.8357 1.0598 2.3347
Al 1.8357 1.0598 13.0134
As 0.0000 0.0000 11.5111
As 0.0000 2.1197 3.8370
As 1.8357 1.0598 19.1851


# 8
4
Lattice="3.4977 0.0000 0.0000 0.0000 4.2943 0.0000 -1.7046 0.0000 6.3368" Properties=species:S:1:pos:R:3 comment="In2AgSb | Alexandria via LeMat-Bulk | meta-GGA SCAN | single point on PBEsol structure" formation_energy_uncorrected_ev_per_atom=0.0907 sg=Pm magmom_total_mub_per_fu=0.000 final_energy_ha_per_atom=-1.241 pbc="T T T"
In 0.0000 0.0000 0.0000
In 0.0246 2.1472 4.3655
Ag 1.7706 0.0000 3.4597
Sb 1.7538 2.1472 1.4561


# 9
8
Lattice="9.2385 0.0000 0.0000 0.0000 3.2108 0.0000 -3.3648 0.0000 6.8142" Properties=species:S:1:pos:R:3 comment="ScWBr2 | Alexandria via LeMat-Bulk | meta-GGA SCAN | single point on PBEsol structure" formation_energy_uncorrected_ev_per_atom=0.0706 sg=Cm magmom_total_mub_per_fu=0.000 final_energy_ha_per_atom=-1.126 pbc="T T T"
Sc 0.0000 0.0000 0.0000
Sc 4.6193 1.6054 0.0000
W 2.0349 1.6054 0.9066
W 6.6542 0.0000 0.9066
Br -0.7792 0.0000 5.6429
Br 1.7922 0.0000 2.8583
Br 3.8400 1.6054 5.6429
Br 6.4115 1.6054 2.8583


# 10
4
Lattice="2.7259 0.0000 0.0000 0.0000 4.2060 0.0000 0.0000 0.0000 5.0651" Properties=species:S:1:pos:R:3 comment="Li2AsW | Alexandria via LeMat-Bulk | meta-GGA SCAN | single point on PBEsol structure" sg=Pmmm magmom_total_mub_per_fu=0.001 delta_e_f_ev_per_atom=0.20 final_energy_ha_per_atom=-0.862 pbc="T T T"
Li 0.0000 0.0000 1.2672
Li 0.0000 0.0000 3.7979
As 1.3629 2.1030 0.0000
W 1.3629 2.1030 2.5326


# 11
22
Lattice="5.2864 0.0000 0.0000 0.0000 6.6384 0.0000 -0.4439 0.0000 9.8146" Properties=species:S:1:pos:R:3 comment="KZrPCO7 | Alexandria via LeMat-Bulk | meta-GGA SCAN | single point on PBEsol structure" formation_energy_uncorrected_ev_per_atom=-2.5719 sg=P2_1 magmom_total_mub_per_fu=0.067 final_energy_ha_per_atom=-0.439 pbc="T T T"
K 0.3265 0.0000 1.0680
K 4.5160 3.3192 8.7465
Zr 1.1353 5.7354 6.4648
Zr 3.7072 2.4162 3.3497
P 1.1204 2.4028 5.6379
P 3.7222 5.7220 4.1767
C 2.5925 2.2908 1.0072
C 2.2500 5.6100 8.8074
O 0.0671 2.3803 4.5264
O 0.9426 3.6434 6.5274
O 1.0048 1.1535 6.5269
O 0.9232 5.6678 8.5767
O 1.9029 2.2167 2.1298
O 1.6611 2.3031 9.6805
O 2.3310 5.7500 4.8443
O 2.5116 2.4308 4.9702
O 3.1814 5.6223 0.1340
O 2.9397 5.5359 7.6847
O 3.9193 2.3486 1.2378
O 3.8377 4.4727 3.2877
O 3.8999 0.3242 3.2872
O 4.7754 5.6995 5.2882


# 12
10
Lattice="7.3039 0.0000 0.0000 0.0000 7.3039 0.0000 0.0000 0.0000 4.6366" Properties=species:S:1:pos:R:3 comment="YSc4 | Alexandria via LeMat-Bulk | meta-GGA SCAN | single point on PBEsol structure" sg=I4/m magmom_total_mub_per_fu=0.000 delta_e_f_ev_per_atom=0.10 final_energy_ha_per_atom=-0.620 pbc="T T T"
Y 0.0000 0.0000 0.0000
Y 3.6520 3.6520 2.3183
Sc 0.7099 2.2064 2.3183
Sc 1.4455 4.3618 0.0000
Sc 2.2064 6.5940 2.3183
Sc 2.9421 1.4455 0.0000
Sc 4.3618 5.8584 0.0000
Sc 5.0975 0.7099 2.3183
Sc 5.8584 2.9421 0.0000
Sc 6.5940 5.0975 2.3183


# 13
8
Lattice="4.1260 0.0000 0.0000 0.0000 11.0902 0.0000 0.0000 0.0000 4.4027" Properties=species:S:1:pos:R:3 comment="CaZn | Alexandria via LeMat-Bulk | meta-GGA SCAN | single point on PBEsol structure" sg=Cmcm magmom_total_mub_per_fu=0.000 delta_e_f_ev_per_atom=-0.29 final_energy_ha_per_atom=-0.436 pbc="T T T"
Ca 0.0000 1.6182 1.1007
Ca 0.0000 9.4720 3.3020
Ca 2.0630 3.9269 3.3020
Ca 2.0630 7.1633 1.1007
Zn 0.0000 4.8630 1.1007
Zn 0.0000 6.2272 3.3020
Zn 2.0630 0.6821 3.3020
Zn 2.0630 10.4080 1.1007


# 14
5
Lattice="4.8233 0.0000 0.0000 0.0000 4.8233 0.0000 0.0000 0.0000 4.8233" Properties=species:S:1:pos:R:3 comment="BeNbSi3 | Alexandria via LeMat-Bulk | meta-GGA SCAN | single point on PBEsol structure" formation_energy_uncorrected_ev_per_atom=1.2290 sg=Pm-3m magmom_total_mub_per_fu=0.953 final_energy_ha_per_atom=-0.451 pbc="T T T"
Be 0.0000 0.0000 0.0000
Nb 2.4116 2.4116 2.4116
Si 0.0000 2.4116 2.4116
Si 2.4116 0.0000 2.4116
Si 2.4116 2.4116 0.0000


# 15
8
Lattice="3.0851 0.0000 0.0000 0.0000 6.2020 0.0000 0.0000 0.0000 11.3675" Properties=species:S:1:pos:R:3 comment="KOsPb2 | Alexandria via LeMat-Bulk | meta-GGA SCAN | single point on PBEsol structure" sg=Immm magmom_total_mub_per_fu=0.002 delta_e_f_ev_per_atom=0.56 final_energy_ha_per_atom=-2.109 pbc="T T T"
K 0.0000 0.0000 0.0000
K 1.5426 3.1010 5.6837
Os 0.0000 0.0000 5.6837
Os 1.5426 3.1010 0.0000
Pb 0.0000 3.1010 2.2544
Pb 0.0000 3.1010 9.1130
Pb 1.5426 0.0000 3.4293
Pb 1.5426 0.0000 7.9381


# 16
5
Lattice="4.5404 0.0000 0.0000 0.0000 4.5404 0.0000 0.0000 0.0000 4.5760" Properties=species:S:1:pos:R:3 comment="CoBiPd2Pt | Alexandria via LeMat-Bulk | meta-GGA SCAN | single point on PBEsol structure" sg=P4/mmm magmom_total_mub_per_fu=3.243 delta_e_f_ev_per_atom=0.53 final_energy_ha_per_atom=-1.683 pbc="T T T"
Co 0.0000 0.0000 0.0000
Bi 2.2702 2.2702 2.2880
Pd 0.0000 2.2702 0.0000
Pd 2.2702 0.0000 0.0000
Pt 0.0000 0.0000 2.2880


# 17
48
Lattice="3.7998 -3.9899 0.0000 3.7998 3.9899 0.0000 0.0000 0.0000 21.6728" Properties=species:S:1:pos:R:3 comment="YNbTe2O8 | Alexandria via LeMat-Bulk | meta-GGA SCAN | single point on PBEsol structure" formation_energy_uncorrected_ev_per_atom=-2.2594 sg=Cmce magmom_total_mub_per_fu=0.000 final_energy_ha_per_atom=-0.651 pbc="T T T"
Y 1.8862 0.0000 0.0000
Y 1.9136 0.0000 10.8364
Y 5.6860 0.0000 10.8364
Y 5.7134 0.0000 0.0000
Nb 1.8999 0.0578 5.4182
Nb 1.8999 -0.0578 16.2546
Nb 5.6997 0.0578 5.4182
Nb 5.6997 -0.0578 16.2546
Te 3.7998 2.4982 18.8810
Te 3.7998 2.4481 13.1969
Te 3.7998 1.5418 2.3605
Te 3.7998 1.4917 8.0447
Te 3.7998 -1.4917 13.6281
Te 3.7998 -1.5418 19.3122
Te 3.7998 -2.4481 8.4759
Te 3.7998 -2.4982 2.7917
O 3.7998 3.8599 9.4228
O 1.8999 1.7808 16.2546
O 3.7998 3.7600 15.7439
O 2.3307 2.0594 1.2572
O 2.3307 1.9305 12.0936
O 3.7998 3.3992 20.5228
O 1.4051 0.3372 3.4522
O 1.4051 -0.3372 18.2205
O 2.3947 0.3372 7.3842
O 2.3947 -0.3372 14.2886
O 3.7998 0.5907 9.6864
O 5.2689 2.0594 1.2572
O 5.2689 1.9305 12.0936
O 3.7998 0.2299 4.9075
O 1.8999 -1.7808 5.4182
O 3.7998 0.1300 20.2592
O 3.7998 -0.1300 1.4136
O 5.6997 1.7808 16.2546
O 3.7998 -0.2299 16.7652
O 2.3307 -1.9305 9.5792
O 2.3307 -2.0594 20.4156
O 3.7998 -0.5907 11.9864
O 5.2049 0.3372 7.3842
O 5.2049 -0.3372 14.2886
O 6.1945 0.3372 3.4522
O 6.1945 -0.3372 18.2205
O 3.7998 -3.3992 1.1500
O 5.2689 -1.9305 9.5792
O 5.2689 -2.0594 20.4156
O 3.7998 -3.7600 5.9288
O 5.6997 -1.7808 5.4182
O 3.7998 -3.8599 12.2500


# 18
5
Lattice="4.6594 0.0000 0.0000 0.0000 4.6594 0.0000 0.0000 0.0000 4.6594" Properties=species:S:1:pos:R:3 comment="Sn3IrF | Alexandria via LeMat-Bulk | meta-GGA SCAN | single point on PBEsol structure" formation_energy_uncorrected_ev_per_atom=0.2581 sg=Pm-3m magmom_total_mub_per_fu=0.000 final_energy_ha_per_atom=-1.331 pbc="T T T"
Sn 0.0000 0.0000 2.3297
Sn 0.0000 2.3297 0.0000
Sn 2.3297 0.0000 0.0000
Ir 2.3297 2.3297 2.3297
F 0.0000 0.0000 0.0000


# 19
5
Lattice="4.9381 0.0000 0.0000 0.0000 4.9381 0.0000 0.0000 0.0000 3.6874" Properties=species:S:1:pos:R:3 comment="CsTeHN2 | Alexandria via LeMat-Bulk | meta-GGA SCAN | single point on PBEsol structure" sg=P4/mmm magmom_total_mub_per_fu=5.117 final_energy_ha_per_atom=-0.654 pbc="T T T"
Cs 0.0000 0.0000 0.0000
Te 2.4691 2.4691 0.0000
H 2.4691 2.4691 1.8437
N 0.0000 2.4691 1.8437
N 2.4691 0.0000 1.8437


# 20
10
Lattice="6.7598 0.0000 0.0000 0.0000 6.7598 0.0000 0.0000 0.0000 4.2852" Properties=species:S:1:pos:R:3 comment="Li2Sb2Os | Alexandria via LeMat-Bulk | meta-GGA SCAN | single point on PBEsol structure" formation_energy_uncorrected_ev_per_atom=-0.1167 sg=P4/mbm magmom_total_mub_per_fu=0.308 final_energy_ha_per_atom=-1.115 pbc="T T T"
Li 1.1344 2.2454 0.0000
Li 2.2454 5.6253 0.0000
Li 4.5143 1.1344 0.0000
Li 5.6253 4.5143 0.0000
Sb 1.0008 4.3807 2.1426
Sb 2.3791 1.0008 2.1426
Sb 4.3807 5.7590 2.1426
Sb 5.7590 2.3791 2.1426
Os 0.0000 0.0000 2.1426
Os 3.3799 3.3799 2.1426


# 21
8
Lattice="3.8586 0.0000 0.0000 0.0000 3.8586 0.0000 0.0000 0.0000 7.9435" Properties=species:S:1:pos:R:3 comment="Fe2RePb | Alexandria via LeMat-Bulk | meta-GGA SCAN | single point on PBEsol structure" sg=I-4m2 magmom_total_mub_per_fu=5.815 delta_e_f_ev_per_atom=0.64 final_energy_ha_per_atom=-1.659 pbc="T T T"
Fe 0.0000 0.0000 0.0000
Fe 0.0000 1.9293 1.9859
Fe 1.9293 0.0000 5.9576
Fe 1.9293 1.9293 3.9717
Re 0.0000 1.9293 5.9576
Re 1.9293 0.0000 1.9859
Pb 0.0000 0.0000 3.9717
Pb 1.9293 1.9293 0.0000


# 22
12
Lattice="3.1641 0.0000 0.0000 -1.5821 2.7402 0.0000 0.0000 0.0000 28.5455" Properties=species:S:1:pos:R:3 comment="CaCd2Fe | Alexandria via LeMat-Bulk | meta-GGA SCAN | single point on PBEsol structure" sg=R-3m magmom_total_mub_per_fu=2.602 delta_e_f_ev_per_atom=0.34 final_energy_ha_per_atom=-0.802 pbc="T T T"
Ca 0.0000 0.0000 0.0000
Ca 0.0000 1.8268 19.0304
Ca 1.5821 0.9134 9.5152
Cd 0.0000 0.0000 6.8305
Cd 0.0000 0.0000 21.7150
Cd 0.0000 1.8268 12.1999
Cd 0.0000 1.8268 25.8608
Cd 1.5821 0.9134 2.6847
Cd 1.5821 0.9134 16.3456
Fe 0.0000 0.0000 14.2728
Fe 0.0000 1.8268 4.7576
Fe 1.5821 0.9134 23.7879